Entry A
NdTmGaHg | PBE | optimized geometry

Structure (POSCAR):
```
NdTmGaHg
1.0
-0.134 3.584 -0.624
-3.513 0.035 0.953
1.956 1.321 7.166
Nd Tm Ga Hg
1 1 1 1
direct
0.000 0.000 0.839
0.000 0.000 0.368
0.500 0.500 0.590
0.500 0.500 0.131
```

Results
total magnetization	0.0	μB/f.u.
crystal system	tetragonal

Entry B
NdTmGaHg | PBE | optimized geometry

Structure (POSCAR):
```
NdTmGaHg
1.0
-0.477 -5.091 1.127
3.572 -3.412 -1.736
3.316 -2.259 3.365
Tm Nd Hg Ga
1 1 1 1
direct
0.000 0.000 0.000
0.500 0.500 0.500
0.750 0.750 0.750
0.250 0.250 0.250
```

Results
total magnetization	0.0	μB/f.u.
crystal system	cubic

Stability order, top to bottom: entry A, entry B